First-principles (GGA-PBE) data for crystalline TbPmPrAg at its relaxed geometry, as listed in Alexandria.

ΔH_f (0 K), eV/atom: 0.100
N(E_F), states/eV/f.u.: 7.05
Total magnetization, μB per formula unit: 0.00
Space-group type: F-43m, No. 216

The structure in POSCAR format:
```
TbPmPrAg
1.0
0.0000 3.8881 3.8881
3.8881 0.0000 3.8881
3.8881 3.8881 0.0000
Tb Pm Pr Ag
1 1 1 1
direct
0.0000 0.0000 0.0000
0.7500 0.7500 0.7500
0.5000 0.5000 0.5000
0.2500 0.2500 0.2500
```